[1]
First-principles (PBE) data for a relaxed TaMn2Pd crystal, as listed in Alexandria via LeMat-Bulk.

Computed properties:
As for the formation energy: 608 meV per atom. The total energy comes out at -8.238 eV/atom. The calculation puts the distance to the lowest polymorph of the same formula at 2.814 eV per formula unit. The space group is I-42d. The calculation puts the density of states at the Fermi level at 1.251 states/eV/atom. The total magnetization comes out at 0.00 μB per formula unit.

Cell and atoms, written as POSCAR:
```
TaMn2Pd
1.0
3.7034 0.0000 0.0000
0.0000 3.7034 0.0000
0.0000 0.0000 18.1174
Ta Mn Pd
4 8 4
Direct
0.0000 0.0000 0.0000 Ta
0.0000 0.5000 0.2500 Ta
0.5000 0.0000 0.7500 Ta
0.5000 0.5000 0.5000 Ta
0.1692 0.2500 0.1250 Mn
0.2500 0.6692 0.3750 Mn
0.2500 0.8308 0.8750 Mn
0.3308 0.2500 0.6250 Mn
0.6692 0.7500 0.6250 Mn
0.7500 0.1692 0.8750 Mn
0.7500 0.3308 0.3750 Mn
0.8308 0.7500 0.1250 Mn
0.0000 0.0000 0.5000 Pd
0.0000 0.5000 0.7500 Pd
0.5000 0.0000 0.2500 Pd
0.5000 0.5000 0.0000 Pd
```

=====

[2]
First-principles (PBE) data for a relaxed Tl12InHg3 crystal, as listed in Alexandria via LeMat-Bulk.

Computed properties:
As for the formation energy: 10 meV per atom. The total energy comes out at -1.992 eV/atom. The space group is P4/mmm. The calculation puts the density of states at the Fermi level at 0.595 states/eV/atom. The total magnetization comes out at 0.00 μB per formula unit.

Cell and atoms, written as POSCAR:
```
Tl12InHg3
1.0
5.6586 0.0000 0.0000
0.0000 5.6586 0.0000
0.0000 0.0000 15.1090
Tl In Hg
12 1 3
Direct
0.0000 0.0000 0.0000 Tl
0.0000 0.0000 0.2472 Tl
0.0000 0.0000 0.5000 Tl
0.0000 0.0000 0.7528 Tl
0.0000 0.5000 0.1248 Tl
0.0000 0.5000 0.3732 Tl
0.0000 0.5000 0.6268 Tl
0.0000 0.5000 0.8752 Tl
0.5000 0.0000 0.1248 Tl
0.5000 0.0000 0.3732 Tl
0.5000 0.0000 0.6268 Tl
0.5000 0.0000 0.8752 Tl
0.5000 0.5000 0.5000 In
0.5000 0.5000 0.0000 Hg
0.5000 0.5000 0.2508 Hg
0.5000 0.5000 0.7492 Hg
```

=====

[3]
First-principles (PBE) data for a relaxed HoCdSn2 crystal, as listed in Alexandria via LeMat-Bulk.

Computed properties:
As for the formation energy: -226 meV per atom. The total energy comes out at -3.601 eV/atom. The calculation puts the distance to the lowest polymorph of the same formula at 0.813 eV per formula unit. The space group is R3m. The calculation puts the density of states at the Fermi level at 0.592 states/eV/atom. The total magnetization comes out at 0.00 μB per formula unit.

Cell and atoms, written as POSCAR:
```
HoCdSn2
1.0
4.5508 0.0000 0.0000
-2.2754 3.9411 0.0000
0.0000 0.0000 19.0915
Ho Cd Sn
3 3 6
Direct
0.0000 0.0000 0.0000 Ho
0.3333 0.6667 0.6667 Ho
0.6667 0.3333 0.3333 Ho
0.0000 0.0000 0.8233 Cd
0.3333 0.6667 0.4899 Cd
0.6667 0.3333 0.1566 Cd
0.0000 0.0000 0.4164 Sn
0.0000 0.0000 0.5735 Sn
0.3333 0.6667 0.0831 Sn
0.3333 0.6667 0.2402 Sn
0.6667 0.3333 0.7498 Sn
0.6667 0.3333 0.9069 Sn
```

=====

[4]
First-principles (PBE) data for a relaxed LaPmMnIn crystal, as listed in Alexandria via LeMat-Bulk.

Computed properties:
As for the formation energy: -60 meV per atom. The total energy comes out at -5.456 eV/atom. The space group is F-43m. The calculation puts the density of states at the Fermi level at 1.251 states/eV/atom. The total magnetization comes out at 3.36 μB per formula unit.

Cell and atoms, written as POSCAR:
```
LaPmMnIn
1.0
7.6457 0.0000 0.0000
0.0000 7.6457 0.0000
0.0000 0.0000 7.6457
La Pm Mn In
4 4 4 4
Direct
0.0000 0.0000 0.0000 La
0.0000 0.5000 0.5000 La
0.5000 0.0000 0.5000 La
0.5000 0.5000 0.0000 La
0.0000 0.0000 0.5000 Pm
0.0000 0.5000 0.0000 Pm
0.5000 0.0000 0.0000 Pm
0.5000 0.5000 0.5000 Pm
0.2500 0.2500 0.7500 Mn
0.2500 0.7500 0.2500 Mn
0.7500 0.2500 0.2500 Mn
0.7500 0.7500 0.7500 Mn
0.2500 0.2500 0.2500 In
0.2500 0.7500 0.7500 In
0.7500 0.2500 0.7500 In
0.7500 0.7500 0.2500 In
```

=====

[5]
First-principles (PBE) data for a relaxed Pm3PrDy2Y6 crystal, as listed in Alexandria via LeMat-Bulk.

Computed properties:
As for the formation energy: 14 meV per atom. The total energy comes out at -5.571 eV/atom. The space group is C2/m. The calculation puts the density of states at the Fermi level at 1.310 states/eV/atom. The total magnetization comes out at 0.00 μB per formula unit.

Cell and atoms, written as POSCAR:
```
Pm3PrDy2Y6
1.0
3.1191 -5.3999 0.0000
3.1191 5.3999 0.0000
-2.0713 0.0000 11.6997
Pm Pr Dy Y
3 1 2 6
Direct
0.0000 0.0000 0.0000 Pm
0.3331 0.6669 0.0000 Pm
0.6669 0.3331 0.0000 Pm
0.5000 0.5000 0.5000 Pr
0.1666 0.8334 0.5000 Dy
0.8334 0.1666 0.5000 Dy
0.0827 0.4167 0.2510 Y
0.2491 0.2491 0.7490 Y
0.4167 0.0827 0.2510 Y
0.5833 0.9173 0.7490 Y
0.7509 0.7509 0.2510 Y
0.9173 0.5833 0.7490 Y
```